(1)
Ba2InPb, relaxed, DFT PBE; calculated total energy = -24.602 eV for the cell shown; E above lowest polymorph = 0.02 eV per formula unit; space-group type = No. 11
1.0
4.9257 0.0000 0.0000
0.0000 7.0790 -0.1184
0.0000 -3.6854 9.7875
Ba Pb In
4 2 2
Cartesian
1.2314 5.2432 0.5700
3.6943 -1.8496 9.0991
3.6943 -0.0036 4.1871
1.2314 3.3972 5.4820
3.6943 3.5256 2.7228
1.2314 -0.1320 6.9463
3.6943 1.6589 7.6083
1.2314 1.7347 2.0608


(2)
Fe3Co4Rh, relaxed, DFT PBE; calculated total energy = -122.349 eV for the cell shown; space-group type = No. 123
1.0
3.9854 0.0000 0.0000
0.0000 5.9885 0.0000
0.0000 0.0000 7.9715
Rh Co Fe
2 8 6
Cartesian
0.0000 2.9942 3.9858
0.0000 2.9942 0.0000
1.9927 1.3987 3.9858
1.9927 1.3987 0.0000
1.9927 4.5897 3.9858
1.9927 4.5897 0.0000
3.9853 1.3987 5.9786
0.0001 1.3987 1.9929
3.9853 4.5898 5.9786
0.0001 4.5898 1.9929
1.9925 0.0000 5.9786
0.0000 0.0000 0.0000
0.0000 0.0000 3.9858
1.9925 2.9942 5.9786
1.9929 2.9942 1.9929
1.9929 0.0000 1.9929


(3)
Rb3Fe2I8, relaxed, DFT PBE; calculated total energy = -42.387 eV for the cell shown; ΔE_f (raw) = -0.781 eV/atom; space-group type = No. 166
1.0
7.8489 0.0000 2.6325
3.4830 7.0338 2.6325
0.5586 0.3467 11.3520
I Rb Fe
8 3 2
Cartesian
8.1974 5.0882 14.6107
4.4890 5.2698 6.0149
3.4005 2.1107 9.2602
7.4015 2.1107 10.6021
5.1760 5.6962 10.6021
6.7145 1.6843 6.0149
3.6930 2.2923 2.0062
8.4899 5.2698 7.3567
2.5551 1.5860 5.3991
0.0000 0.0000 0.0000
9.3354 5.7945 11.2178
6.8382 4.2445 5.6460
5.0523 3.1360 10.9709


(4)
AcCoH6Pd, relaxed, DFT PBE; calculated total energy = -39.741 eV for the cell shown; space-group type = No. 187
1.0
4.7723 0.0000 -0.0001
2.3862 4.1330 0.0000
0.0001 -0.0001 4.3877
Pd Co H Ac
1 1 6 1
Cartesian
4.7721 2.7553 2.1938
2.3860 1.3777 2.1938
1.3289 1.9859 1.1497
3.4433 1.9859 3.2380
1.3308 1.9891 3.2380
2.3842 0.1579 3.2380
2.3879 0.1580 1.1496
3.4414 1.9891 1.1496
4.7723 -0.0001 4.3876


(5)
CdNiBr2, relaxed, DFT PBE; calculated total energy = -10.321 eV for the cell shown; E above lowest polymorph = 0.68 eV per formula unit; ΔE_f (raw) = -0.070 eV/atom; space-group type = No. 44
1.0
8.4264 0.1499 -0.0067
6.8003 4.9783 0.0067
-7.5194 -2.8430 2.5304
Ni Br Cd
1 2 1
Cartesian
4.0941 2.5676 1.2685
0.2900 0.0977 0.0000
4.4488 -0.0009 1.2619
6.4877 2.1850 0.0000


(6)
PrHo2Au, relaxed, DFT PBE; calculated total energy = -18.380 eV for the cell shown; E above lowest polymorph = 0.49 eV per formula unit; space-group type = No. 166
1.0
3.7485 0.0000 0.0000
1.8742 3.2463 0.0000
1.8742 1.0821 9.9738
Au Ho Pr
1 2 1
Cartesian
0.0000 0.0000 0.0000
1.8742 1.0821 2.0050
5.6227 3.2463 7.9688
3.7485 2.1642 4.9869